# LiTi2CdSb, single point on PBEsol structure, DFT meta-GGA SCAN
data_LiTi2CdSb
_symmetry_space_group_name_H-M 'P 4/m m m'
_symmetry_Int_Tables_number 123
_symmetry_space_group_name_Hall '-P 4 2'
_cell_length_a 4.960
_cell_length_b 4.960
_cell_length_c 4.458
_cell_angle_alpha 90.00
_cell_angle_beta 90.00
_cell_angle_gamma 90.00
loop_
_atom_site_label
_atom_site_type_symbol
_atom_site_fract_x
_atom_site_fract_y
_atom_site_fract_z
_atom_site_occupancy
Li1 Li 0.000 0.000 0.000 1
Ti1 Ti 0.000 0.500 0.500 1
Cd1 Cd 0.000 0.000 0.500 1
Sb1 Sb 0.500 0.500 0.000 1
# * size of the total moment: 0.00 μB/cell
# * formation energy from raw total energies: 0.57 eV/atom
# * DOS(E_F): 3.869 states/eV/f.u.
# * E_tot: -19.85 eV/atom
# * calculated density: 5.10 g/cm3

***

# FeNiPt2, single point on PBEsol structure, DFT meta-GGA SCAN
data_FeNiPt2
_symmetry_space_group_name_H-M 'P m m 2'
_symmetry_Int_Tables_number 25
_symmetry_space_group_name_Hall 'P 2 -2'
_cell_length_a 2.669
_cell_length_b 3.682
_cell_length_c 5.367
_cell_angle_alpha 90.00
_cell_angle_beta 90.00
_cell_angle_gamma 90.00
loop_
_atom_site_label
_atom_site_type_symbol
_atom_site_fract_x
_atom_site_fract_y
_atom_site_fract_z
_atom_site_occupancy
Fe1 Fe 0.000 0.000 0.000 1
Ni1 Ni 0.500 0.500 0.234 1
Pt1 Pt 0.000 0.000 0.469 1
Pt2 Pt 0.500 0.500 0.757 1
# * size of the total moment: 4.72 μB/cell
# * E_form: -0.25 eV per atom
# * DOS(E_F): 3.310 states/eV/f.u.
# * E_tot: -43.92 eV/atom
# * calculated density: 15.89 g/cm3

***

# BeRe2Pb, single point on PBEsol structure, DFT meta-GGA SCAN
data_BeRe2Pb
_symmetry_space_group_name_H-M 'R -3 m'
_symmetry_Int_Tables_number 166
_symmetry_space_group_name_Hall '-R 3 2"'
_cell_length_a 3.2187
_cell_length_b 3.2187
_cell_length_c 20.7651
_cell_angle_alpha 90.00
_cell_angle_beta 90.00
_cell_angle_gamma 120.00
loop_
_atom_site_label
_atom_site_type_symbol
_atom_site_fract_x
_atom_site_fract_y
_atom_site_fract_z
_atom_site_occupancy
Be1 Be 0.0000 0.0000 0.0000 1
Re1 Re 0.0000 0.0000 0.2789 1
Pb1 Pb 0.0000 0.0000 0.5000 1
# * size of the total moment: 0.00 μB/cell
# * E_form: 0.78 eV per atom
# * DOS(E_F): 2.173 states/eV/f.u.
# * E_tot: -54.80 eV/atom
# * calculated density: 15.74 g/cm3

***

# ReSi2Sb, single point on PBEsol structure, DFT meta-GGA SCAN
data_ReSi2Sb
_symmetry_space_group_name_H-M 'F -4 3 m'
_symmetry_Int_Tables_number 216
_symmetry_space_group_name_Hall 'F -4 2 3'
_cell_length_a 6.356
_cell_length_b 6.356
_cell_length_c 6.356
_cell_angle_alpha 90.00
_cell_angle_beta 90.00
_cell_angle_gamma 90.00
loop_
_atom_site_label
_atom_site_type_symbol
_atom_site_fract_x
_atom_site_fract_y
_atom_site_fract_z
_atom_site_occupancy
Re1 Re 0.000 0.000 0.000 1
Si1 Si 0.000 0.000 0.500 1
Si2 Si 0.250 0.250 0.750 1
Sb1 Sb 0.250 0.250 0.250 1
# * size of the total moment: 0.00 μB/cell
# * formation energy from raw total energies: 0.75 eV/atom
# * DOS(E_F): 1.818 states/eV/f.u.
# * E_tot: -31.34 eV/atom
# * calculated density: 9.42 g/cm3